Record 1
A relaxed structure of AlNi8Ge2, computed with GGA-PBE.

a b c (Å): 3.662 5.750 6.717
angles (deg): 108.55 105.82 90.00
Fractional positions:
Ni: 0.592 0.462 0.183
Ge: 0.211 0.667 0.422
Ni: 0.963 0.268 0.927
Ni: 0.675 0.921 0.351
Ni: 0.037 0.732 0.073
Al: 0.500 0.000 0.000
Ni: 0.408 0.538 0.817
Ni: 0.850 0.786 0.701
Ni: 0.150 0.214 0.299
Ni: 0.325 0.079 0.649
Ge: 0.789 0.333 0.578

Calculated values
Magnetic moment: 0.000 μB per atom
E_form: -3.2 eV/f.u.
Energy: -62.40 eV/f.u.
SG: No. 12
Polymorph energy (0 for the lowest one): 16 meV per atom
DOS at the Fermi energy: 9.28 states/eV/cell


Record 2
A relaxed structure of Al2Ni7Ge2, computed with GGA-PBE.

a b c (Å): 4.947 6.675 4.947
angles (deg): 89.96 116.72 90.04
Fractional positions:
Al: 0.717 0.000 0.283
Ge: 0.236 0.500 0.236
Ni: 0.500 0.308 0.000
Ni: 0.000 0.000 0.000
Al: 0.283 0.000 0.717
Ni: 0.000 0.692 0.500
Ni: 0.500 0.692 0.000
Ni: 0.000 0.308 0.500
Ge: 0.764 0.500 0.764
Ni: 0.500 0.215 0.500
Ni: 0.500 0.785 0.500

Calculated values
Magnetic moment: 0.000 μB per atom
E_form: -0.9 eV/f.u.
Energy: -58.06 eV/f.u.
SG: No. 65
DOS at the Fermi energy: 6.09 states/eV/cell


Record 3
A relaxed structure of AlNi3Ge, computed with GGA-PBE.

a b c (Å): 4.286 4.286 4.286
angles (deg): 90.00 90.00 90.00
Fractional positions:
Ni: 0.000 0.000 0.500
Ni: 0.000 0.500 0.000
Al: 0.500 0.500 0.500
Ni: 0.500 0.000 0.000
Ge: 0.000 0.000 0.000

Calculated values
Magnetic moment: 0.000 μB per atom
E_form: 2.1 eV/f.u.
Energy: -23.65 eV/f.u.
SG: No. 221
Polymorph energy (0 for the lowest one): 787 meV per atom
DOS at the Fermi energy: 3.58 states/eV/cell


Record 4
A relaxed structure of AlNi2Ge2, computed with GGA-PBE.

a b c (Å): 7.405 7.405 2.623
angles (deg): 90.00 90.00 90.00
Fractional positions:
Al: 0.500 0.500 0.000
Al: 0.000 0.000 0.000
Ge: 0.638 0.138 0.000
Ni: 0.841 0.341 0.500
Ge: 0.362 0.862 0.000
Ni: 0.659 0.841 0.500
Ge: 0.862 0.638 0.000
Ni: 0.341 0.159 0.500
Ni: 0.159 0.659 0.500
Ge: 0.138 0.362 0.000

Calculated values
Magnetic moment: 0.000 μB per atom
E_form: -0.1 eV/f.u.
Energy: -24.65 eV/f.u.
SG: No. 127
Polymorph energy (0 for the lowest one): 61 meV per atom
DOS at the Fermi energy: 4.26 states/eV/cell


Record 5
A relaxed structure of Al2Ni8Ge, computed with GGA-PBE.

a b c (Å): 3.682 5.588 6.638
angles (deg): 104.59 106.10 90.00
Fractional positions:
Al: 0.781 0.346 0.561
Ni: 0.677 0.916 0.353
Ni: 0.146 0.195 0.291
Ni: 0.961 0.272 0.921
Ge: 0.500 0.000 0.000
Ni: 0.408 0.543 0.815
Ni: 0.854 0.805 0.709
Ni: 0.592 0.457 0.185
Ni: 0.323 0.084 0.647
Ni: 0.039 0.728 0.079
Al: 0.219 0.654 0.439

Calculated values
Magnetic moment: 0.000 μB per atom
E_form: -3.8 eV/f.u.
Energy: -62.19 eV/f.u.
SG: No. 12
Polymorph energy (0 for the lowest one): 0 meV per atom
DOS at the Fermi energy: 9.78 states/eV/cell


Record 6
A relaxed structure of Al2Ni2Ge, computed with GGA-PBE.

a b c (Å): 6.953 6.953 2.806
angles (deg): 90.00 90.00 90.00
Fractional positions:
Ge: 0.000 0.000 0.000
Al: 0.656 0.844 0.500
Al: 0.156 0.656 0.500
Al: 0.844 0.344 0.500
Ni: 0.361 0.861 0.000
Al: 0.344 0.156 0.500
Ni: 0.861 0.639 0.000
Ge: 0.500 0.500 0.000
Ni: 0.139 0.361 0.000
Ni: 0.639 0.139 0.000

Calculated values
Magnetic moment: 0.000 μB per atom
E_form: -1.7 eV/f.u.
Energy: -25.33 eV/f.u.
SG: No. 127
Polymorph energy (0 for the lowest one): 0 meV per atom
DOS at the Fermi energy: 2.24 states/eV/cell


Record 7
A relaxed structure of AlNi2Ge2, computed with GGA-PBE.

a b c (Å): 6.948 6.948 2.956
angles (deg): 90.00 90.00 90.00
Fractional positions:
Ni: 0.131 0.369 0.000
Ni: 0.869 0.631 0.000
Ge: 0.334 0.166 0.500
Al: 0.000 0.000 0.000
Ni: 0.369 0.869 0.000
Al: 0.500 0.500 0.000
Ge: 0.666 0.834 0.500
Ge: 0.834 0.334 0.500
Ni: 0.631 0.131 0.000
Ge: 0.166 0.666 0.500

Calculated values
Magnetic moment: 0.000 μB per atom
E_form: -0.4 eV/f.u.
Energy: -24.96 eV/f.u.
SG: No. 127
Polymorph energy (0 for the lowest one): 0 meV per atom
DOS at the Fermi energy: 4.35 states/eV/cell


Record 8
A relaxed structure of AlNi7Ge2, computed with GGA-PBE.

a b c (Å): 3.714 3.714 9.563
angles (deg): 101.20 101.20 90.00
Fractional positions:
Ni: 0.500 0.500 0.000
Ni: 0.908 0.408 0.817
Ni: 0.592 0.092 0.183
Ge: 0.670 0.670 0.340
Ni: 0.750 0.250 0.500
Ni: 0.408 0.908 0.817
Al: 0.000 0.000 0.000
Ni: 0.092 0.592 0.183
Ni: 0.250 0.750 0.500
Ge: 0.330 0.330 0.660

Calculated values
Magnetic moment: 0.000 μB per atom
E_form: -2.7 eV/f.u.
Energy: -56.17 eV/f.u.
SG: No. 139
DOS at the Fermi energy: 6.20 states/eV/cell


Record 9
A relaxed structure of AlNi7Ge3, computed with GGA-PBE.

a b c (Å): 4.883 6.380 6.380
angles (deg): 83.58 120.49 120.49
Fractional positions:
Ni: 0.663 0.809 0.809
Ge: 0.000 0.226 0.774
Ni: 0.000 0.500 0.500
Ge: 0.500 0.000 0.000
Ni: 0.662 0.411 0.939
Ge: 0.000 0.774 0.226
Al: 0.500 0.500 0.500
Ni: 0.662 0.939 0.411
Ni: 0.337 0.191 0.191
Ni: 0.338 0.061 0.589
Ni: 0.338 0.589 0.061

Calculated values
Magnetic moment: 0.000 μB per atom
E_form: -1.6 eV/f.u.
Energy: -59.62 eV/f.u.
SG: No. 12
DOS at the Fermi energy: 5.61 states/eV/cell


Record 10
A relaxed structure of Al3NiGe, computed with GGA-PBE.

a b c (Å): 4.500 4.500 4.500
angles (deg): 90.00 90.00 90.00
Fractional positions:
Al: 0.000 0.000 0.500
Ge: 0.500 0.500 0.500
Al: 0.000 0.500 0.000
Al: 0.500 0.000 0.000
Ni: 0.000 0.000 0.000

Calculated values
Magnetic moment: 0.000 μB per atom
E_form: 0.4 eV/f.u.
Energy: -21.24 eV/f.u.
SG: No. 221
Polymorph energy (0 for the lowest one): 0 meV per atom
DOS at the Fermi energy: 3.09 states/eV/cell


Record 11
A relaxed structure of Al2Ni6Ge, computed with GGA-PBE.

a b c (Å): 3.857 5.438 6.697
angles (deg): 113.95 106.46 90.00
Fractional positions:
Ni: 0.500 0.250 0.000
Ni: 0.500 0.750 0.000
Ni: 0.164 0.414 0.331
Ni: 0.836 0.586 0.669
Al: 0.333 0.332 0.665
Ge: 0.000 0.000 0.000
Ni: 0.836 0.083 0.669
Ni: 0.164 0.917 0.331
Al: 0.667 0.668 0.335

Calculated values
Magnetic moment: 0.000 μB per atom
E_form: -1.3 eV/f.u.
Energy: -48.05 eV/f.u.
SG: No. 12
DOS at the Fermi energy: 1.62 states/eV/cell


Record 12
A relaxed structure of AlNi4Ge, computed with GGA-PBE.

a b c (Å): 3.321 4.504 5.883
angles (deg): 106.77 73.60 68.36
Fractional positions:
Ni: 0.334 0.001 0.331
Ni: 0.828 0.512 0.833
Ni: 0.666 0.999 0.669
Ni: 0.172 0.488 0.167
Al: 0.500 0.500 0.500
Ge: 0.000 0.000 0.000

Calculated values
Magnetic moment: 0.000 μB per atom
E_form: -2.0 eV/f.u.
Energy: -33.46 eV/f.u.
SG: No. 12
Polymorph energy (0 for the lowest one): 92 meV per atom
DOS at the Fermi energy: 3.70 states/eV/cell